AlTe2NF: optimized geometry, GGA-PBEsol.

**ΔE_f (raw)**: 0.1355 eV per atom
**Density of states at the Fermi level**: 4.5 states/eV per cell
**Total magnetization**: 0.00 μB per cell
**Electronic total energy**: -4.184 eV/atom

a = 5.375 Å, b = 5.375 Å, c = 3.433 Å
α = 90.00°, β = 90.00°, γ = 90.00°
Space group P4/mmm (No. 123)
One atom of each set of equivalent atoms:
Al 0.000 0.000 0.000
Te 0.000 0.500 0.000
N 0.000 0.000 0.500
F 0.500 0.500 0.500


AlCoSeCl2: optimized geometry, GGA-PBEsol.

**ΔE_f (raw)**: 0.4127 eV per atom
**Density of states at the Fermi level**: 3.4 states/eV per cell
**Total magnetization**: 1.32 μB per cell
**Electronic total energy**: -3.526 eV/atom

a = 5.410 Å, b = 5.410 Å, c = 4.267 Å
α = 90.00°, β = 90.00°, γ = 90.00°
Space group P4/mmm (No. 123)
One atom of each set of equivalent atoms:
Al 0.000 0.000 0.000
Co 0.500 0.500 0.000
Se 0.500 0.500 0.500
Cl 0.000 0.500 0.500


CeCdIn: optimized geometry, GGA-PBEsol.

**Density of states at the Fermi level**: 11.4 states/eV per cell
**Total magnetization**: 1.65 μB per cell
**Formation enthalpy at 0 K**: -0.9 eV per formula unit
**Electronic total energy**: -3.896 eV/atom

a = 5.0543 Å, b = 5.0543 Å, c = 6.4770 Å
α = 90.00°, β = 90.00°, γ = 120.00°
Space group P6/mmm (No. 191)
One atom of each set of equivalent atoms:
Ce 0.0000 0.0000 0.2235
Cd 0.3333 0.6667 0.0000
In 0.3333 0.6667 0.5000


As2IrSe: optimized geometry, GGA-PBEsol.

**ΔE_f (raw)**: 0.1224 eV per atom
**Density of states at the Fermi level**: 5.9 states/eV per cell
**Total magnetization**: 0.00 μB per cell
**Electronic total energy**: -5.849 eV/atom

a = 3.5323 Å, b = 3.5323 Å, c = 21.2773 Å
α = 90.00°, β = 90.00°, γ = 120.00°
Space group R3m (No. 160, hexagonal axes)
One atom of each set of equivalent atoms:
As 0.0000 0.0000 0.0000
As 0.0000 0.0000 0.2611
Ir 0.0000 0.0000 0.7520
Se 0.0000 0.0000 0.4778


Which value of density of states at the Fermi level does entry 2 give? 3.4 states/eV per cell


total magnetization of number 1 (AlTe2NF)? 0.00 μB per cell


The lowest electronic total energy belongs to which entry? As2IrSe


What did the first record say?
AlTe2NF: optimized geometry, GGA-PBEsol.

**ΔE_f (raw)**: 0.1355 eV per atom
**Density of states at the Fermi level**: 4.5 states/eV per cell
**Total magnetization**: 0.00 μB per cell
**Electronic total energy**: -4.184 eV/atom

a = 5.375 Å, b = 5.375 Å, c = 3.433 Å
α = 90.00°, β = 90.00°, γ = 90.00°
Space group P4/mmm (No. 123)
One atom of each set of equivalent atoms:
Al 0.000 0.000 0.000
Te 0.000 0.500 0.000
N 0.000 0.000 0.500
F 0.500 0.500 0.500